HoCoB2: optimized geometry, PBE-GGA.

Output
total energy	-6.51	eV per atom
V	47	Å³/f.u.
crystal system	orthorhombic

The structure in extended XYZ format:
```
16
Lattice="-1.885 2.058 1.475 -1.300 -4.065 4.010 7.769 3.075 5.635" Properties=species:S:1:pos:R:3 pbc="T T T"
Co 1.872 -0.386 7.995
Co 2.713 1.454 3.125
Co 5.240 2.723 7.961
Co -0.655 -1.654 3.159
B -2.343 -1.570 4.263
B 2.426 0.094 4.657
B 6.928 2.638 6.858
B 2.545 -0.872 6.155
B 2.159 0.975 6.464
B -1.281 -3.149 4.445
B 2.040 1.940 4.965
B 5.866 4.217 6.676
Ho -0.077 -0.562 5.751
Ho 4.729 -0.118 7.895
Ho 4.662 1.630 5.369
Ho -0.144 1.187 3.226
```